(1)
A geometry-optimized Tb3Ge2I2 structure. Source: Alexandria via LeMat-Bulk, functional PBE.

Structure (CIF):
```
data_Tb3Ge2I2
_chemical_formula_sum 'Tb3 Ge2 I2'
_cell_length_a 4.124
_cell_length_b 7.282
_cell_length_c 7.848
_cell_angle_alpha 81.31
_cell_angle_beta 89.94
_cell_angle_gamma 73.65
_symmetry_space_group_name_H-M 'P -1'
_symmetry_Int_Tables_number 2
_symmetry_space_group_name_Hall '-P 1'
loop_
_atom_site_label
_atom_site_type_symbol
_atom_site_fract_x
_atom_site_fract_y
_atom_site_fract_z
_atom_site_occupancy
Tb1 Tb 0.000 0.000 0.000 1
Tb2 Tb 0.244 0.510 0.781 1
Ge1 Ge 0.377 0.248 0.107 1
I1 I 0.124 0.753 0.387 1
```

---

(2)
# Tb2GeI PBE optimized geometry
data_Tb2GeI
_chemical_formula_sum 'Tb6 Ge3 I3'
_cell_length_a 4.2573
_cell_length_b 4.2573
_cell_length_c 22.2840
_cell_angle_alpha 90.00
_cell_angle_beta 90.00
_cell_angle_gamma 120.00
_symmetry_space_group_name_H-M 'R -3 m'
_symmetry_Int_Tables_number 166
_symmetry_space_group_name_Hall '-R 3 2"'
loop_
_atom_site_label
_atom_site_type_symbol
_atom_site_fract_x
_atom_site_fract_y
_atom_site_fract_z
_atom_site_occupancy
Tb1 Tb 0.0000 0.0000 0.2315 1
Ge1 Ge 0.0000 0.0000 0.5000 1
I1 I 0.0000 0.0000 0.0000 1
# E above lowest polymorph = 0.000 eV/atom

---

(3)
# Tb4Ge2I3 PBE optimized geometry
data_Tb4Ge2I3
_chemical_formula_sum 'Tb4 Ge2 I3'
_cell_length_a 4.2541
_cell_length_b 4.2541
_cell_length_c 18.6520
_cell_angle_alpha 90.00
_cell_angle_beta 90.00
_cell_angle_gamma 120.00
_symmetry_space_group_name_H-M 'P -3 m 1'
_symmetry_Int_Tables_number 164
_symmetry_space_group_name_Hall '-P 3 2"'
loop_
_atom_site_label
_atom_site_type_symbol
_atom_site_fract_x
_atom_site_fract_y
_atom_site_fract_z
_atom_site_occupancy
Tb1 Tb 0.0000 0.0000 0.2169 1
Tb2 Tb 0.3333 0.6667 0.3789 1
Ge1 Ge 0.3333 0.6667 0.6980 1
I1 I 0.0000 0.0000 0.5000 1
I2 I 0.3333 0.6667 0.1096 1
# E above lowest polymorph = 0.000 eV/atom

---

(4)
A geometry-optimized TbGe2I8 structure. Source: Alexandria via LeMat-Bulk, functional PBE.

Structure (CIF):
```
data_TbGe2I8
_chemical_formula_sum 'Tb2 Ge4 I16'
_cell_length_a 13.425
_cell_length_b 11.698
_cell_length_c 7.703
_cell_angle_alpha 90.00
_cell_angle_beta 103.72
_cell_angle_gamma 90.00
_symmetry_space_group_name_H-M 'C 1 2/m 1'
_symmetry_Int_Tables_number 12
_symmetry_space_group_name_Hall '-C 2y'
loop_
_atom_site_label
_atom_site_type_symbol
_atom_site_fract_x
_atom_site_fract_y
_atom_site_fract_z
_atom_site_occupancy
Tb1 Tb 0.000 0.000 0.000 1
Ge1 Ge 0.189 0.000 0.654 1
I1 I 0.088 0.180 0.792 1
I2 I 0.118 0.500 0.160 1
I3 I 0.205 0.000 0.280 1
```

---

(5)
# Tb4Ge2I3 PBE optimized geometry
data_Tb4Ge2I3
_chemical_formula_sum 'Tb16 Ge8 I12'
_cell_length_a 15.108
_cell_length_b 13.859
_cell_length_c 5.792
_cell_angle_alpha 90.00
_cell_angle_beta 94.51
_cell_angle_gamma 90.00
_symmetry_space_group_name_H-M 'C 1 2/c 1'
_symmetry_Int_Tables_number 15
_symmetry_space_group_name_Hall '-C 2yc'
loop_
_atom_site_label
_atom_site_type_symbol
_atom_site_fract_x
_atom_site_fract_y
_atom_site_fract_z
_atom_site_occupancy
Tb1 Tb 0.129 0.212 0.007 1
Tb2 Tb 0.205 0.405 0.445 1
Ge1 Ge 0.211 0.393 0.939 1
I1 I 0.000 0.369 0.250 1
I2 I 0.086 0.125 0.513 1
# E above lowest polymorph = 0.319 eV/atom

---

(6)
# Tb2GeI PBE optimized geometry
data_Tb2GeI
_chemical_formula_sum 'Tb6 Ge3 I3'
_cell_length_a 4.2098
_cell_length_b 4.2098
_cell_length_c 22.7884
_cell_angle_alpha 90.00
_cell_angle_beta 90.00
_cell_angle_gamma 120.00
_symmetry_space_group_name_H-M 'R 3 m'
_symmetry_Int_Tables_number 160
_symmetry_space_group_name_Hall 'R 3 -2"'
loop_
_atom_site_label
_atom_site_type_symbol
_atom_site_fract_x
_atom_site_fract_y
_atom_site_fract_z
_atom_site_occupancy
Tb1 Tb 0.0000 0.0000 0.0000 1
Tb2 Tb 0.0000 0.0000 0.2031 1
Ge1 Ge 0.0000 0.0000 0.6033 1
I1 I 0.0000 0.0000 0.4336 1
# E above lowest polymorph = 0.021 eV/atom

---

(7)
A geometry-optimized Tb7GeI12 structure. Source: Alexandria via LeMat-Bulk, functional PBE.

Structure (CIF):
```
data_Tb7GeI12
_chemical_formula_sum 'Tb21 Ge3 I36'
_cell_length_a 15.7669
_cell_length_b 15.7669
_cell_length_c 10.4472
_cell_angle_alpha 90.00
_cell_angle_beta 90.00
_cell_angle_gamma 120.00
_symmetry_space_group_name_H-M 'R -3'
_symmetry_Int_Tables_number 148
_symmetry_space_group_name_Hall '-R 3'
loop_
_atom_site_label
_atom_site_type_symbol
_atom_site_fract_x
_atom_site_fract_y
_atom_site_fract_z
_atom_site_occupancy
Tb1 Tb 0.0000 0.0000 0.0000 1
Tb2 Tb 0.0460 0.1625 0.3499 1
Ge1 Ge 0.0000 0.0000 0.5000 1
I1 I 0.0222 0.5866 0.1648 1
I2 I 0.0514 0.1827 0.8373 1
```

---

(8)
A geometry-optimized Tb2GeI2 structure. Source: Alexandria via LeMat-Bulk, functional PBE.

Structure (CIF):
```
data_Tb2GeI2
_chemical_formula_sum 'Tb8 Ge4 I8'
_cell_length_a 4.109
_cell_length_b 14.353
_cell_length_c 11.050
_cell_angle_alpha 90.00
_cell_angle_beta 90.00
_cell_angle_gamma 90.00
_symmetry_space_group_name_H-M 'C m c 21'
_symmetry_Int_Tables_number 36
_symmetry_space_group_name_Hall 'C 2c -2'
loop_
_atom_site_label
_atom_site_type_symbol
_atom_site_fract_x
_atom_site_fract_y
_atom_site_fract_z
_atom_site_occupancy
Tb1 Tb 0.000 0.036 0.000 1
Tb2 Tb 0.000 0.229 0.231 1
Ge1 Ge 0.000 0.349 0.581 1
I1 I 0.000 0.098 0.732 1
I2 I 0.000 0.366 0.926 1
```

---

Number 1: uncorrected formation energy -6.0 eV per formula unit. Number 2: uncorrected formation energy -3.9 eV per formula unit. Number 3: uncorrected formation energy -10.0 eV per formula unit. Number 4: uncorrected formation energy -6.7 eV per formula unit. Number 5: uncorrected formation energy -7.2 eV per formula unit. Number 6: uncorrected formation energy -3.8 eV per formula unit. Number 7: uncorrected formation energy -25.2 eV per formula unit. Number 8: uncorrected formation energy -4.3 eV per formula unit.